This record from Alexandria describes an optimized crystal structure of AcYTlO2. The functional is PBE-GGA.

a = 7.6172 Å, b = 7.6172 Å, c = 7.6172 Å
α = 148.96°, β = 148.96°, γ = 44.48°
Last column: nearest neighbours and their distance in Å.
Fractional positions:
Ac 0.0000 0.0000 0.0000  4 O 2.46
Y 0.6677 0.6677 0.0000  4 O 2.27
Tl 0.3351 0.3351 0.0000  4 Ac 3.70, 4 Y 3.73, 4 O 3.92, 4 Tl 4.08
O 0.0977 0.5977 0.5000  2 Y 2.27, 2 Ac 2.46
O 0.5977 0.0977 0.5000  2 Y 2.27, 2 Ac 2.46

=====

This record from Alexandria describes an optimized crystal structure of Ac2TlZnO6. The functional is PBE-GGA.

a = 5.5627 Å, b = 5.5627 Å, c = 5.2332 Å
α = 90.00°, β = 90.00°, γ = 90.00°
Last column: nearest neighbours and their distance in Å.
Fractional positions:
Ac 0.0000 0.5000 0.0000  4 O 2.51
Ac 0.5000 0.0000 0.0000  4 O 2.51
Tl 0.0000 0.0000 0.5411  5 O 2.16-2.21
Zn 0.5000 0.5000 0.5487  5 O 1.98-2.05
O 0.0000 0.0000 0.1284  1 Tl 2.16
O 0.2595 0.2595 0.7008  1 Zn 2.05, 1 Tl 2.21
O 0.2595 0.7405 0.7008  1 Zn 2.05, 1 Tl 2.21
O 0.5000 0.5000 0.1708  1 Zn 1.98
O 0.7405 0.2595 0.7008  1 Zn 2.05, 1 Tl 2.21
O 0.7405 0.7405 0.7008  1 Zn 2.05, 1 Tl 2.21

=====

This record from Alexandria describes an optimized crystal structure of AcTl4Zn3O12. The functional is PBE-GGA.

a = 7.1375 Å, b = 7.1375 Å, c = 7.1375 Å
α = 109.47°, β = 109.47°, γ = 109.47°
Last column: nearest neighbours and their distance in Å.
Fractional positions:
Ac 0.0000 0.0000 0.0000  12 O 2.86
Tl 0.0000 0.0000 0.5000  6 O 2.26
Tl 0.0000 0.5000 0.0000  6 O 2.26
Tl 0.5000 0.0000 0.0000  6 O 2.26
Tl 0.5000 0.5000 0.5000  6 O 2.26
Zn 0.0000 0.5000 0.5000  4 O 2.01
Zn 0.5000 0.0000 0.5000  4 O 2.01
Zn 0.5000 0.5000 0.0000  4 O 2.01
O 0.1536 0.3108 0.4644  1 Zn 2.01
O 0.1536 0.6892 0.8427  1 Zn 2.01
O 0.1573 0.8464 0.3108  1 Zn 2.01
O 0.3108 0.1573 0.8464  1 Zn 2.01
O 0.3108 0.4644 0.1536  1 Zn 2.01
O 0.4644 0.1536 0.3108  1 Zn 2.01
O 0.5356 0.8464 0.6892  1 Zn 2.01
O 0.6892 0.5356 0.8464  1 Zn 2.01
O 0.6892 0.8427 0.1536  1 Zn 2.01
O 0.8427 0.1536 0.6892  1 Zn 2.01
O 0.8464 0.3108 0.1573  1 Zn 2.01
O 0.8464 0.6892 0.5356  1 Zn 2.01

=====

This record from Alexandria describes an optimized crystal structure of Ac2ZrTlO6. The functional is PBE-GGA.

a = 5.7573 Å, b = 5.7573 Å, c = 5.5526 Å
α = 90.00°, β = 90.00°, γ = 90.00°
Last column: nearest neighbours and their distance in Å.
Fractional positions:
Ac 0.0000 0.5000 0.0000  4 O 2.48
Ac 0.5000 0.0000 0.0000  4 O 2.48
Zr 0.0000 0.0000 0.5971  5 O 2.01-2.08
Tl 0.5000 0.5000 0.5434  5 O 2.29-2.45
O 0.0000 0.0000 0.2358  1 Zr 2.01
O 0.2336 0.2336 0.7471  1 Zr 2.08
O 0.2336 0.7664 0.7471  1 Zr 2.08
O 0.5000 0.5000 0.1317  1 Tl 2.29
O 0.7664 0.2336 0.7471  1 Zr 2.08
O 0.7664 0.7664 0.7471  1 Zr 2.08

=====

This record from Alexandria describes an optimized crystal structure of AcTm3O. The functional is PBE-GGA.

a = 5.0002 Å, b = 5.0002 Å, c = 5.0002 Å
α = 90.00°, β = 90.00°, γ = 90.00°
Last column: nearest neighbours and their distance in Å.
Fractional positions:
Ac 0.0000 0.0000 0.0000  12 Tm 3.54
Tm 0.0000 0.5000 0.5000  2 O 2.50
Tm 0.5000 0.0000 0.5000  2 O 2.50
Tm 0.5000 0.5000 0.0000  2 O 2.50
O 0.5000 0.5000 0.5000  6 Tm 2.50

=====

This record from Alexandria describes an optimized crystal structure of Ac2TmO4. The functional is PBE-GGA.

a = 7.2519 Å, b = 7.2519 Å, c = 7.2519 Å
α = 145.31°, β = 145.31°, γ = 49.87°
Last column: nearest neighbours and their distance in Å.
Fractional positions:
Ac 0.1502 0.1502 0.0000  1 O 2.33
Ac 0.8498 0.8498 0.0000  1 O 2.33
Tm 0.5000 0.5000 0.0000  6 O 2.16-2.27
O 0.0000 0.5000 0.5000  2 Tm 2.16
O 0.3275 0.3275 0.0000  1 Tm 2.27, 1 Ac 2.33
O 0.5000 0.0000 0.5000  2 Tm 2.16
O 0.6725 0.6725 0.0000  1 Tm 2.27, 1 Ac 2.33

=====

This record from Alexandria describes an optimized crystal structure of Ac2TmO. The functional is PBE-GGA.

a = 10.2678 Å, b = 10.2678 Å, c = 10.2678 Å
α = 21.23°, β = 21.23°, γ = 21.23°
Last column: nearest neighbours and their distance in Å.
Fractional positions:
Ac 0.1163 0.1163 0.1163  3 O 2.66
Ac 0.8837 0.8837 0.8837  3 O 2.66
Tm 0.0000 0.0000 0.0000  2 Ac 3.50, 6 Tm 3.78
O 0.5000 0.5000 0.5000  6 Ac 2.66

=====

This record from Alexandria describes an optimized crystal structure of AcTmO. The functional is PBE-GGA.

a = 3.6729 Å, b = 3.6729 Å, c = 6.5523 Å
α = 90.00°, β = 90.00°, γ = 120.00°
Last column: nearest neighbours and their distance in Å.
Fractional positions:
Ac 0.0000 0.0000 0.0000  3 O 3.19
Tm 0.6667 0.3333 0.5296  3 O 2.23
O 0.3333 0.6667 0.6354  3 Tm 2.23

=====

This record from Alexandria describes an optimized crystal structure of Ac3TmO6. The functional is PBE-GGA.

a = 7.2475 Å, b = 7.2475 Å, c = 7.2475 Å
α = 92.27°, β = 92.27°, γ = 92.27°
Last column: nearest neighbours and their distance in Å.
Fractional positions:
Ac 0.0594 0.5665 0.7537  6 O 2.48-2.61
Ac 0.2463 0.9406 0.4335  6 O 2.48-2.61
Ac 0.4335 0.2463 0.9406  6 O 2.48-2.61
Ac 0.5665 0.7537 0.0594  6 O 2.48-2.61
Ac 0.7537 0.0594 0.5665  6 O 2.48-2.61
Ac 0.9406 0.4335 0.2463  6 O 2.48-2.61
Tm 0.0000 0.0000 0.0000  6 O 2.27
Tm 0.5000 0.5000 0.5000  6 O 2.30
O 0.0377 0.9094 0.7016  1 Tm 2.27, 1 Ac 2.52
O 0.0906 0.2984 0.9623  1 Tm 2.27, 1 Ac 2.52
O 0.2005 0.5815 0.4385  1 Tm 2.30, 2 Ac 2.48-2.54
O 0.2984 0.9623 0.0906  1 Tm 2.27, 1 Ac 2.52
O 0.4185 0.5615 0.7995  1 Tm 2.30, 2 Ac 2.48-2.54
O 0.4385 0.2005 0.5815  1 Tm 2.30, 2 Ac 2.48-2.54
O 0.5615 0.7995 0.4185  1 Tm 2.30, 2 Ac 2.48-2.54
O 0.5815 0.4385 0.2005  1 Tm 2.30, 2 Ac 2.48-2.54
O 0.7016 0.0377 0.9094  1 Tm 2.27, 1 Ac 2.52
O 0.7995 0.4185 0.5615  1 Tm 2.30, 2 Ac 2.48-2.54
O 0.9094 0.7016 0.0377  1 Tm 2.27, 1 Ac 2.52
O 0.9623 0.0906 0.2984  1 Tm 2.27, 1 Ac 2.52

=====

This record from Alexandria describes an optimized crystal structure of Ac6TmO12. The functional is PBE-GGA.

a = 7.1612 Å, b = 7.1612 Å, c = 7.1612 Å
α = 99.14°, β = 99.14°, γ = 99.14°
Last column: nearest neighbours and their distance in Å.
Fractional positions:
Ac 0.1041 0.6377 0.7903  7 O 2.47-2.71
Ac 0.2097 0.8959 0.3623  7 O 2.47-2.71
Ac 0.3623 0.2097 0.8959  7 O 2.47-2.71
Ac 0.6377 0.7903 0.1041  7 O 2.47-2.71
Ac 0.7903 0.1041 0.6377  7 O 2.47-2.71
Ac 0.8959 0.3623 0.2097  7 O 2.47-2.71
Tm 0.5000 0.5000 0.5000  6 O 2.27
O 0.0557 0.3232 0.9090  4 Ac 2.47-2.60
O 0.0910 0.9443 0.6768  4 Ac 2.47-2.60
O 0.1948 0.5566 0.4374  1 Tm 2.27, 1 Ac 2.53
O 0.3232 0.9090 0.0557  4 Ac 2.47-2.60
O 0.4374 0.1948 0.5566  1 Tm 2.27, 1 Ac 2.53
O 0.4433 0.5626 0.8052  1 Tm 2.27, 1 Ac 2.53
O 0.5566 0.4374 0.1948  1 Tm 2.27, 1 Ac 2.53
O 0.5626 0.8052 0.4433  1 Tm 2.27, 1 Ac 2.53
O 0.6768 0.0910 0.9443  4 Ac 2.47-2.60
O 0.8052 0.4433 0.5626  1 Tm 2.27, 1 Ac 2.53
O 0.9090 0.0557 0.3232  4 Ac 2.47-2.60
O 0.9443 0.6768 0.0910  4 Ac 2.47-2.60

=====

This record from Alexandria describes an optimized crystal structure of AcTmUO6. The functional is PBE-GGA.

a = 5.8068 Å, b = 5.8068 Å, c = 10.3393 Å
α = 90.00°, β = 90.00°, γ = 120.00°
Last column: nearest neighbours and their distance in Å.
Fractional positions:
Ac 0.0000 0.0000 0.0000  6 O 2.57
Ac 0.0000 0.0000 0.5000  6 O 2.57
Tm 0.3333 0.6667 0.2500  6 O 2.24
Tm 0.6667 0.3333 0.7500  6 O 2.24
U 0.3333 0.6667 0.7500  6 O 2.10
U 0.6667 0.3333 0.2500  6 O 2.10
O 0.0176 0.3706 0.6422  1 U 2.10, 1 Tm 2.24
O 0.0176 0.6470 0.8578  1 U 2.10, 1 Tm 2.24
O 0.3530 0.3706 0.8578  1 U 2.10, 1 Tm 2.24
O 0.3530 0.9824 0.6422  1 U 2.10, 1 Tm 2.24
O 0.3706 0.0176 0.1422  1 U 2.10, 1 Tm 2.24
O 0.3706 0.3530 0.3578  1 U 2.10, 1 Tm 2.24
O 0.6294 0.6470 0.6422  1 U 2.10, 1 Tm 2.24
O 0.6294 0.9824 0.8578  1 U 2.10, 1 Tm 2.24
O 0.6470 0.0176 0.3578  1 U 2.10, 1 Tm 2.24
O 0.6470 0.6294 0.1422  1 U 2.10, 1 Tm 2.24
O 0.9824 0.3530 0.1422  1 U 2.10, 1 Tm 2.24
O 0.9824 0.6294 0.3578  1 U 2.10, 1 Tm 2.24

=====

This record from Alexandria describes an optimized crystal structure of Ac2TmUO8. The functional is PBE-GGA.

a = 4.0002 Å, b = 7.7315 Å, c = 5.6990 Å
α = 90.00°, β = 90.13°, γ = 90.00°
Last column: nearest neighbours and their distance in Å.
Fractional positions:
Ac 0.0000 0.2489 0.0000  8 O 2.51-2.56
Ac 0.0000 0.7511 0.0000  8 O 2.51-2.56
Tm 0.5000 0.5000 0.5000  8 O 2.36-2.47
U 0.5000 0.0000 0.5000  8 O 2.16-2.36
O 0.0003 0.5000 0.2799  2 Tm 2.36, 1 O 2.51, 2 Ac 2.51
O 0.9997 0.5000 0.7201  2 Tm 2.36, 1 O 2.51, 2 Ac 2.51
O 0.0020 0.0000 0.2847  2 U 2.34-2.36, 1 O 2.45, 2 Ac 2.52
O 0.4989 0.2257 0.7229  1 U 2.16
O 0.4989 0.7743 0.7229  1 U 2.16
O 0.5011 0.2257 0.2771  1 U 2.16
O 0.5011 0.7743 0.2771  1 U 2.16
O 0.9980 0.0000 0.7153  2 U 2.34-2.36, 1 O 2.45, 2 Ac 2.52

=====

| no. | raw formation energy (eV/atom) |
| --- | --- |
| 1 | -2.370 |
| 2 | -1.965 |
| 3 | -0.963 |
| 4 | -2.645 |
| 5 | -0.945 |
| 6 | -3.084 |
| 7 | -0.926 |
| 8 | -1.667 |
| 9 | -3.410 |
| 10 | -3.049 |
| 11 | -3.418 |
| 12 | -3.170 |